(1)
# Zr2MnFe (PBE-GGA, optimized geometry)
data_Zr2MnFe
_chemical_formula_sum 'Zr6 Mn3 Fe3'
_cell_length_a 3.0981
_cell_length_b 3.0981
_cell_length_c 26.1614
_cell_angle_alpha 90.00
_cell_angle_beta 90.00
_cell_angle_gamma 120.00
_symmetry_space_group_name_H-M 'R 3 m'
_symmetry_Int_Tables_number 160
_symmetry_space_group_name_Hall 'R 3 -2"'
loop_
_atom_site_label
_atom_site_fract_x
_atom_site_fract_y
_atom_site_fract_z
Zr1 0.0000 0.0000 0.0000
Zr2 0.0000 0.0000 0.2319
Mn1 0.0000 0.0000 0.4786
Fe1 0.0000 0.0000 0.7436
# Energy, eV per atom: -8.369
# Formation energy from the elements, eV/atom: 0.313
# Distance to the lowest polymorph of the same formula, meV/atom: 422



(2)
# PrSn4Pd7 (PBE-GGA, optimized geometry)
data_PrSn4Pd7
_chemical_formula_sum 'Pr2 Sn8 Pd14'
_cell_length_a 11.3733
_cell_length_b 5.1176
_cell_length_c 9.9526
_cell_angle_alpha 90.00
_cell_angle_beta 123.95
_cell_angle_gamma 90.00
_symmetry_space_group_name_H-M 'C 1 2/m 1'
_symmetry_Int_Tables_number 12
loop_
_symmetry_equiv_pos_as_xyz
'x,y,z'
'-x,-y,-z'
'-x,y,-z'
'x,-y,z'
'x+1/2,y+1/2,z'
'-x+1/2,-y+1/2,-z'
'-x+1/2,y+1/2,-z'
'x+1/2,-y+1/2,z'
loop_
_atom_site_label
_atom_site_fract_x
_atom_site_fract_y
_atom_site_fract_z
Pr1 0.0000 0.0000 0.0000
Sn1 0.0880 0.5000 0.7740
Sn2 0.2347 0.5000 0.3309
Pd1 0.0000 0.5000 0.0000
Pd2 0.0579 0.0000 0.3515
Pd3 0.1507 0.5000 0.5459
Pd4 0.2207 0.0000 0.9057
# Energy, eV per atom: -5.234
# Formation energy from the elements, eV/atom: -0.472



(3)
# La2Sn5Au3 (PBE-GGA, optimized geometry)
data_La2Sn5Au3
_chemical_formula_sum 'La8 Sn20 Au12'
_cell_length_a 11.0535
_cell_length_b 13.7101
_cell_length_c 6.9247
_cell_angle_alpha 90.00
_cell_angle_beta 90.00
_cell_angle_gamma 90.00
_symmetry_space_group_name_H-M 'I b a m'
_symmetry_Int_Tables_number 72
_symmetry_space_group_name_Hall '-I 2 2c'
loop_
_atom_site_label
_atom_site_fract_x
_atom_site_fract_y
_atom_site_fract_z
La1 0.2496 0.1231 0.0000
Sn1 0.0000 0.0000 0.2500
Sn2 0.0000 0.2513 0.2500
Sn3 0.1381 0.3889 0.0000
Au1 0.0000 0.5000 0.2500
Au2 0.1245 0.1283 0.5000
# Energy, eV per atom: -4.476
# Formation energy from the elements, eV/atom: -0.506
# Distance to the lowest polymorph of the same formula, meV/atom: 49



(4)
# LiBe4Cl (PBE-GGA, optimized geometry)
data_LiBe4Cl
_chemical_formula_sum 'Li4 Be16 Cl4'
_cell_length_a 6.5615
_cell_length_b 6.5615
_cell_length_c 6.5615
_cell_angle_alpha 90.00
_cell_angle_beta 90.00
_cell_angle_gamma 90.00
_symmetry_space_group_name_H-M 'F -4 3 m'
_symmetry_Int_Tables_number 216
_symmetry_space_group_name_Hall 'F -4 2 3'
loop_
_atom_site_label
_atom_site_fract_x
_atom_site_fract_y
_atom_site_fract_z
Li1 0.0000 0.0000 0.0000
Be1 0.1289 0.1289 0.6289
Cl1 0.2500 0.2500 0.2500
# Energy, eV per atom: -2.561



(5)
# Te2RhI (PBE-GGA, optimized geometry)
data_Te2RhI
_chemical_formula_sum 'Te8 Rh4 I4'
_cell_length_a 7.3942
_cell_length_b 7.3942
_cell_length_c 9.7791
_cell_angle_alpha 90.00
_cell_angle_beta 90.00
_cell_angle_gamma 90.00
_symmetry_space_group_name_H-M 'I -4 2 d'
_symmetry_Int_Tables_number 122
_symmetry_space_group_name_Hall 'I -4 2bw'
loop_
_atom_site_label
_atom_site_fract_x
_atom_site_fract_y
_atom_site_fract_z
Te1 0.1643 0.2500 0.1250
Rh1 0.0000 0.0000 0.0000
I1 0.0000 0.0000 0.5000
# Energy, eV per atom: -3.776



Which formula does entry 2 have? PrSn4Pd7